Density functional theory data (GGA-PBE) for a relaxed Hg12Te5I3 crystal.

Computed properties:
M_tot: 0.000 μB/atom
E_form (uncorrected): 0.01 eV per atom
Energy: -95.3 eV for the cell shown

abc: 15.903 15.903 15.903
angles: 109.47 109.47 109.47
Sites, in units of the cell vectors:
1 Te 0.125 0.750 0.375
2 Te 0.500 0.500 0.000
3 Te 0.250 0.875 0.125
4 Te 0.500 0.000 0.500
5 Te 0.625 0.875 0.250
6 Te 0.000 0.000 0.000
7 Te 0.500 0.500 0.500
8 Te 0.375 0.125 0.750
9 Te 0.000 0.500 0.000
10 Te 0.750 0.625 0.375
11 Te 0.250 0.375 0.625
12 Te 0.125 0.375 0.250
13 Te 0.875 0.250 0.625
14 Te 0.625 0.750 0.875
15 Te 0.875 0.625 0.750
16 Te 0.375 0.250 0.125
17 Te 0.500 0.000 0.000
18 Te 0.000 0.000 0.500
19 Te 0.000 0.500 0.500
20 Te 0.750 0.125 0.875
21 I 0.750 0.375 0.125
22 I 0.125 0.875 0.750
23 I 0.875 0.750 0.125
24 I 0.625 0.250 0.375
25 I 0.250 0.125 0.375
26 I 0.250 0.625 0.875
27 I 0.125 0.250 0.875
28 I 0.375 0.625 0.250
29 I 0.625 0.375 0.750
30 I 0.750 0.875 0.625
31 I 0.875 0.125 0.250
32 I 0.375 0.750 0.625
33 Hg 0.364 0.073 0.551
34 Hg 0.291 0.927 0.978
35 Hg 0.927 0.291 0.478
36 Hg 0.949 0.813 0.522
37 Hg 0.687 0.478 0.551
38 Hg 0.187 0.136 0.709
39 Hg 0.051 0.864 0.073
40 Hg 0.022 0.449 0.813
41 Hg 0.636 0.927 0.449
42 Hg 0.136 0.187 0.209
43 Hg 0.813 0.949 0.022
44 Hg 0.478 0.687 0.051
45 Hg 0.709 0.073 0.022
46 Hg 0.864 0.813 0.791
47 Hg 0.427 0.978 0.791
48 Hg 0.427 0.449 0.136
49 Hg 0.864 0.051 0.573
50 Hg 0.364 0.291 0.313
51 Hg 0.313 0.522 0.449
52 Hg 0.449 0.022 0.313
53 Hg 0.022 0.573 0.709
54 Hg 0.813 0.864 0.291
55 Hg 0.709 0.636 0.187
56 Hg 0.687 0.209 0.636
57 Hg 0.136 0.949 0.427
58 Hg 0.073 0.709 0.522
59 Hg 0.949 0.136 0.927
60 Hg 0.522 0.209 0.073
61 Hg 0.978 0.551 0.187
62 Hg 0.791 0.478 0.427
63 Hg 0.051 0.187 0.478
64 Hg 0.073 0.364 0.051
65 Hg 0.291 0.364 0.813
66 Hg 0.449 0.427 0.636
67 Hg 0.927 0.636 0.949
68 Hg 0.187 0.051 0.978
69 Hg 0.551 0.573 0.364
70 Hg 0.573 0.551 0.864
71 Hg 0.573 0.022 0.209
72 Hg 0.478 0.791 0.927
73 Hg 0.636 0.709 0.687
74 Hg 0.522 0.313 0.949
75 Hg 0.209 0.687 0.136
76 Hg 0.551 0.978 0.687
77 Hg 0.978 0.427 0.291
78 Hg 0.209 0.522 0.573
79 Hg 0.791 0.313 0.864
80 Hg 0.313 0.791 0.364